No. 1
PaV2WO8 after structural relaxation, computed with PBE+U.

Calculated values
symmetry	Cmmm, No. 65
E_tot	-101.2	eV per cell

a = 4.743 Å, b = 4.743 Å, c = 6.601 Å
α = 90.00°, β = 90.00°, γ = 90.42°
Atoms (fractional coordinates):
Pa 0.000 0.000 0.000
V 0.500 0.500 0.259
V 0.500 0.500 0.741
W 0.000 0.000 0.500
O 0.201 0.799 0.267
O 0.201 0.799 0.733
O 0.293 0.293 0.500
O 0.314 0.314 0.000
O 0.686 0.686 0.000
O 0.707 0.707 0.500
O 0.799 0.201 0.267
O 0.799 0.201 0.733

No. 2
YPaVO6 after structural relaxation, computed with PBE+U.

Calculated values
symmetry	P-31c, No. 163
E_tot	-159.4	eV per cell

a = 5.411 Å, b = 5.411 Å, c = 9.480 Å
α = 90.00°, β = 90.00°, γ = 120.00°
Atoms (fractional coordinates):
Y 0.333 0.667 0.250
Y 0.667 0.333 0.750
Pa 0.000 0.000 0.000
Pa 0.000 0.000 0.500
V 0.333 0.667 0.750
V 0.667 0.333 0.250
O 0.042 0.355 0.632
O 0.042 0.687 0.868
O 0.313 0.355 0.868
O 0.313 0.958 0.632
O 0.355 0.042 0.132
O 0.355 0.313 0.368
O 0.645 0.687 0.632
O 0.645 0.958 0.868
O 0.687 0.042 0.368
O 0.687 0.645 0.132
O 0.958 0.313 0.132
O 0.958 0.645 0.368

No. 3
PaV2ZnO8 after structural relaxation, computed with PBE+U.

Calculated values
symmetry	I-4, No. 82
E_tot	-91.9	eV per cell

a = 6.579 Å, b = 6.579 Å, c = 6.579 Å
α = 134.92°, β = 134.92°, γ = 65.65°
Atoms (fractional coordinates):
Pa 0.000 0.000 0.000
V 0.250 0.750 0.500
V 0.500 0.500 0.000
Zn 0.750 0.250 0.500
O 0.085 0.656 0.079
O 0.151 0.248 0.555
O 0.344 0.423 0.429
O 0.404 0.849 0.097
O 0.577 0.006 0.921
O 0.692 0.596 0.445
O 0.752 0.308 0.903
O 0.994 0.915 0.571

No. 4
ZrPaVO6 after structural relaxation, computed with PBE+U.

Calculated values
symmetry	P-31c, No. 163
E_tot	-162.2	eV per cell

a = 5.585 Å, b = 5.585 Å, c = 8.750 Å
α = 90.00°, β = 90.00°, γ = 120.00°
Atoms (fractional coordinates):
Zr 0.333 0.667 0.250
Zr 0.667 0.333 0.750
Pa 0.333 0.667 0.750
Pa 0.667 0.333 0.250
V 0.000 0.000 0.000
V 0.000 0.000 0.500
O 0.009 0.331 0.128
O 0.009 0.677 0.372
O 0.323 0.331 0.372
O 0.323 0.991 0.128
O 0.331 0.009 0.628
O 0.331 0.323 0.872
O 0.669 0.677 0.128
O 0.669 0.991 0.372
O 0.677 0.009 0.872
O 0.677 0.669 0.628
O 0.991 0.323 0.628
O 0.991 0.669 0.872